#A
Computed, not measured: crystalline SbHF at its relaxed geometry at the PBE-GGA level of DFT.

Lattice parameters (Å, degrees): 3.2372 4.8741 7.3437 108.03 101.30 91.71
Last column: nearest neighbours and their distance in Å.
Space group P-1 (No. 2)
Unique sites:
Sb 0.1199 0.1778 0.2413 (multiplicity 2)  1 H 1.81
H 0.0163 0.2431 0.0082 (multiplicity 2)  1 Sb 1.81
F 0.1946 0.6158 0.3621 (multiplicity 2)  1 Sb 2.03

Values from the calculation:
Magnetic moment (μB per atom): 0.000



#B
Computed, not measured: crystalline SbHF at its relaxed geometry at the PBE-GGA level of DFT.

Lattice parameters (Å, degrees): 3.2538 4.3618 4.7002 64.49 69.98 89.99
Last column: nearest neighbours and their distance in Å.
Space group P1 (No. 1)
Unique sites:
Sb 0.0000 0.0000 0.0000 (multiplicity 1)  1 H 1.74
H 0.2185 0.2062 0.5575 (multiplicity 1)  1 Sb 1.74
F 0.0392 0.5372 0.9201 (multiplicity 1)  2 Sb 2.20

Values from the calculation:
Magnetic moment (μB per atom): 0.000



Most stable of them? #B.



#A
Computed, not measured: crystalline SbH2F6 at its relaxed geometry at the PBE-GGA level of DFT.

Lattice parameters (Å, degrees): 10.6362 8.4652 4.9856 90.00 102.89 90.00
Last column: nearest neighbours and their distance in Å.
Space group C2/c (No. 15)
Unique sites:
Sb 0.0000 0.1553 0.2500 (multiplicity 4)  4 F 2.00-2.10
H 0.1274 0.3336 0.7891 (multiplicity 8)  1 F 0.98
F 0.1019 0.0528 0.6179 (multiplicity 8)  2 Sb 2.10-2.24
F 0.1196 0.3643 0.5975 (multiplicity 8)  1 H 0.98
F 0.1285 0.2720 0.0867 (multiplicity 8)  1 H 1.57

Values from the calculation:
Magnetic moment (μB per atom): 0.000



#B
Computed, not measured: crystalline SbH2F6 at its relaxed geometry at the PBE-GGA level of DFT.

Lattice parameters (Å, degrees): 14.2501 7.9592 5.0208 90.00 99.82 90.00
Last column: nearest neighbours and their distance in Å.
Space group C2/c (No. 15)
Unique sites:
Sb 0.0000 0.1568 0.2500 (multiplicity 4)  4 F 1.93-2.07
H 0.2218 0.4814 0.4420 (multiplicity 8)  1 F 0.96
F 0.0756 0.0717 0.6143 (multiplicity 8)  2 Sb 2.07-2.28
F 0.0827 0.3164 0.1166 (multiplicity 8)  1 Sb 1.93
F 0.2286 0.4366 0.6222 (multiplicity 8)  1 H 0.96

Values from the calculation:
Magnetic moment (μB per atom): 0.000



Most stable of them? #B.



#A
Computed, not measured: crystalline SbH2F at its relaxed geometry at the PBE-GGA level of DFT.

Lattice parameters (Å, degrees): 5.3668 5.3668 5.3668 90.00 90.00 90.00
Last column: nearest neighbours and their distance in Å.
Space group Fm-3m (No. 225)
Unique sites:
Sb 0.0000 0.0000 0.0000 (multiplicity 4)  8 H 2.32
H 0.2500 0.2500 0.2500 (multiplicity 8)  4 F 2.32, 4 Sb 2.32
F 0.0000 0.0000 0.5000 (multiplicity 4)  8 H 2.32

Values from the calculation:
Magnetic moment (μB per atom): 0.000



#B
Computed, not measured: crystalline SbH2F at its relaxed geometry at the PBE-GGA level of DFT.

Lattice parameters (Å, degrees): 3.9238 3.9238 12.9128 90.00 90.00 90.00
Last column: nearest neighbours and their distance in Å.
Space group I-42d (No. 122)
Unique sites:
Sb 0.0000 0.0000 0.0000 (multiplicity 4)  4 H 1.93
H 0.0961 0.2500 0.1250 (multiplicity 8)  2 Sb 1.93, 2 H 2.10
F 0.0000 0.0000 0.5000 (multiplicity 4)  4 H 2.47

Values from the calculation:
Magnetic moment (μB per atom): 0.000



Most stable of them? #B.



#A
Computed, not measured: crystalline SbTeHF at its relaxed geometry at the PBE-GGA level of DFT.

Lattice parameters (Å, degrees): 3.1387 3.1396 9.9769 88.29 87.53 87.02
Last column: nearest neighbours and their distance in Å.
Space group P1 (No. 1)
Unique sites:
Sb 0.0000 0.0000 0.0000 (multiplicity 1)  1 Te 2.97, 4 Sb 3.14
Te 0.0424 0.0281 0.7021 (multiplicity 1)  1 Sb 2.97, 4 Te 3.14
H 0.3741 0.3453 0.3577 (multiplicity 1)  1 F 0.95
F 0.5846 0.5511 0.3534 (multiplicity 1)  1 H 0.95

Values from the calculation:
Magnetic moment (μB per atom): 0.000



#B
Computed, not measured: crystalline SbTeHF at its relaxed geometry at the PBE-GGA level of DFT.

Lattice parameters (Å, degrees): 4.4207 4.5538 4.9283 86.53 83.00 88.20
Last column: nearest neighbours and their distance in Å.
Space group P1 (No. 1)
Unique sites:
Sb 0.0000 0.0000 0.0000 (multiplicity 1)  1 H 1.96, 1 F 2.05
Te 0.5130 0.0430 0.5912 (multiplicity 1)  1 H 1.96
H 0.2527 0.0100 0.2990 (multiplicity 1)  1 Sb 1.96, 1 Te 1.96
F 0.0117 0.5481 0.0397 (multiplicity 1)  1 Sb 2.05

Values from the calculation:
Magnetic moment (μB per atom): 0.000



Most stable of them? #A.



#A
Computed, not measured: crystalline SbTeHF at its relaxed geometry at the PBE-GGA level of DFT.

Lattice parameters (Å, degrees): 3.7416 4.0081 6.7182 75.33 74.72 89.94
Last column: nearest neighbours and their distance in Å.
Space group P1 (No. 1)
Unique sites:
Sb 0.0000 0.0000 0.0000 (multiplicity 1)  2 H 1.91, 1 F 2.10
Te 0.1591 0.6862 0.6564 (multiplicity 1)  2 Sb 2.83-3.05
H 0.4761 0.0244 0.0518 (multiplicity 1)  2 Sb 1.91
F 0.9017 0.5008 0.2103 (multiplicity 1)  1 Sb 2.10

Values from the calculation:
Magnetic moment (μB per atom): 0.000



#B
Computed, not measured: crystalline SbTeHF at its relaxed geometry at the PBE-GGA level of DFT.

Lattice parameters (Å, degrees): 3.8983 3.8992 7.1159 83.02 82.87 89.09
Last column: nearest neighbours and their distance in Å.
Space group P1 (No. 1)
Unique sites:
Sb 0.0000 0.0000 0.0000 (multiplicity 1)  4 Te 3.01-3.06
Te 0.5365 0.5358 0.8214 (multiplicity 1)  1 H 2.53
H 0.4777 0.4800 0.4758 (multiplicity 1)  1 F 0.96
F 0.4151 0.4195 0.3583 (multiplicity 1)  1 H 0.96

Values from the calculation:
Magnetic moment (μB per atom): 0.000



Most stable of them? #B.



#A
Computed, not measured: crystalline Sc2HF at its relaxed geometry at the PBE-GGA level of DFT.

Lattice parameters (Å, degrees): 6.0200 6.0200 6.0200 90.00 90.00 90.00
Last column: nearest neighbours and their distance in Å.
Space group Fm-3m (No. 225)
Unique sites:
Sc 0.2500 0.2500 0.2500 (multiplicity 8)  4 F 2.61, 4 H 2.61
H 0.0000 0.0000 0.0000 (multiplicity 4)  8 Sc 2.61
F 0.0000 0.0000 0.5000 (multiplicity 4)  8 Sc 2.61

Values from the calculation:
Magnetic moment (μB per atom): 0.051



#B
Computed, not measured: crystalline Sc2HF at its relaxed geometry at the PBE-GGA level of DFT.

Lattice parameters (Å, degrees): 4.9695 4.9695 9.7406 90.00 90.00 90.00
Last column: nearest neighbours and their distance in Å.
Space group I-42d (No. 122)
Unique sites:
Sc 0.2332 0.2500 0.1250 (multiplicity 8)  2 H 2.09, 2 F 2.19
H 0.0000 0.0000 0.0000 (multiplicity 4)  4 Sc 2.09
F 0.0000 0.0000 0.5000 (multiplicity 4)  4 Sc 2.19

Values from the calculation:
Magnetic moment (μB per atom): 0.039



#C
Computed, not measured: crystalline Sc2HF at its relaxed geometry at the PBE-GGA level of DFT.

Lattice parameters (Å, degrees): 3.3775 3.3775 19.5154 90.00 90.00 120.00
Last column: nearest neighbours and their distance in Å.
Space group R-3m (No. 166, hexagonal axes)
Unique sites:
Sc 0.0000 0.0000 0.1050 (multiplicity 6)  1 F 2.05, 3 H 2.29
H 0.0000 0.0000 0.5000 (multiplicity 3)  6 Sc 2.29
F 0.0000 0.0000 0.0000 (multiplicity 3)  2 Sc 2.05

Values from the calculation:
Magnetic moment (μB per atom): 0.000



Most stable of them? #C.



#A
Computed, not measured: crystalline ScHF3 at its relaxed geometry at the PBE-GGA level of DFT.

Lattice parameters (Å, degrees): 4.0812 4.0812 4.0812 90.00 90.00 90.00
Last column: nearest neighbours and their distance in Å.
Space group Pm-3m (No. 221)
Unique sites:
Sc 0.0000 0.0000 0.0000 (multiplicity 1)  6 F 2.04
H 0.5000 0.5000 0.5000 (multiplicity 1)  12 F 2.89
F 0.0000 0.0000 0.5000 (multiplicity 3)  2 Sc 2.04

Values from the calculation:
Magnetic moment (μB per atom): 0.200



#B
Computed, not measured: crystalline ScHF3 at its relaxed geometry at the PBE-GGA level of DFT.

Lattice parameters (Å, degrees): 3.5033 3.5033 3.5033 90.00 90.00 90.00
Last column: nearest neighbours and their distance in Å.
Space group Pm-3m (No. 221)
Unique sites:
Sc 0.0000 0.0000 0.0000 (multiplicity 1)  12 F 2.48
H 0.5000 0.5000 0.5000 (multiplicity 1)  6 F 1.75
F 0.0000 0.5000 0.5000 (multiplicity 3)  2 H 1.75

Values from the calculation:
Magnetic moment (μB per atom): 0.013



Most stable of them? #A.



#A
Computed, not measured: crystalline HSe2F at its relaxed geometry at the PBE-GGA level of DFT.

Lattice parameters (Å, degrees): 4.2444 4.2444 14.2792 90.00 90.00 90.00
Last column: nearest neighbours and their distance in Å.
Space group I-42d (No. 122)
Unique sites:
H 0.0000 0.0000 0.0000 (multiplicity 4)  4 Se 2.17
Se 0.1512 0.2500 0.1250 (multiplicity 8)  2 H 2.17
F 0.0000 0.0000 0.5000 (multiplicity 4)  4 Se 2.55

Values from the calculation:
Magnetic moment (μB per atom): 0.000



#B
Computed, not measured: crystalline HSe2F at its relaxed geometry at the PBE-GGA level of DFT.

Lattice parameters (Å, degrees): 5.2132 6.0642 6.1396 95.78 114.67 110.10
Last column: nearest neighbours and their distance in Å.
Space group P1 (No. 1)
Unique sites:
H 0.0000 0.0000 0.0000 (multiplicity 1)  1 F 1.08
H 0.4288 0.3826 0.0724 (multiplicity 1)  1 Se 1.49
Se 0.1091 0.4381 0.3865 (multiplicity 1)  2 Se 2.39-2.59
Se 0.3899 0.6128 0.1151 (multiplicity 1)  1 H 1.49
Se 0.8778 0.4073 0.6886 (multiplicity 1)  3 Se 2.40-2.60, 1 F 2.53
Se 0.9936 0.7545 0.5302 (multiplicity 1)  2 Se 2.39-2.40, 1 F 2.59
F 0.1476 0.0010 0.1876 (multiplicity 1)  1 H 1.08
F 0.8454 0.0061 0.7858 (multiplicity 1)  1 H 1.24

Values from the calculation:
Magnetic moment (μB per atom): 0.000



Most stable of them? #B.



#A
Computed, not measured: crystalline HSe2F at its relaxed geometry at the PBE-GGA level of DFT.

Lattice parameters (Å, degrees): 3.6526 3.7354 12.6385 91.81 97.62 90.01
Last column: nearest neighbours and their distance in Å.
Space group P1 (No. 1)
Unique sites:
H 0.0000 0.0000 0.0000 (multiplicity 1)  1 F 1.04
H 0.0403 0.4990 0.9937 (multiplicity 1)  1 F 1.04
Se 0.0655 0.7054 0.3574 (multiplicity 1)  1 Se 2.39
Se 0.1635 0.2081 0.7001 (multiplicity 1)  1 Se 2.39
Se 0.4790 0.2709 0.2974 (multiplicity 1)  1 Se 2.39
Se 0.6956 0.7728 0.6401 (multiplicity 1)  1 Se 2.39
F 0.1788 0.7224 0.9715 (multiplicity 1)  1 H 1.04
F 0.8609 0.2278 0.0222 (multiplicity 1)  1 H 1.04

Values from the calculation:
Magnetic moment (μB per atom): 0.000



#B
Computed, not measured: crystalline HSe2F at its relaxed geometry at the PBE-GGA level of DFT.

Lattice parameters (Å, degrees): 4.3347 6.1876 7.9714 112.79 93.81 90.03
Last column: nearest neighbours and their distance in Å.
Space group P1 (No. 1)
Unique sites:
H 0.0000 0.0000 0.0000 (multiplicity 1)  1 F 0.99
H 0.4977 0.9648 0.0033 (multiplicity 1)  1 F 0.99
Se 0.3872 0.9451 0.4653 (multiplicity 1)  2 Se 2.37-2.38
Se 0.6533 0.2881 0.6738 (multiplicity 1)  2 Se 2.37-2.38
Se 0.7032 0.6170 0.3309 (multiplicity 1)  2 Se 2.37-2.38
Se 0.9694 0.4818 0.5390 (multiplicity 1)  2 Se 2.37-2.38
F 0.2023 0.0738 0.9983 (multiplicity 1)  1 H 0.99
F 0.7017 0.8921 0.0054 (multiplicity 1)  1 H 0.99

Values from the calculation:
Magnetic moment (μB per atom): 0.000



Most stable of them? #B.



#A
Computed, not measured: crystalline HSe2F at its relaxed geometry at the PBE-GGA level of DFT.

Lattice parameters (Å, degrees): 2.7123 5.0292 7.0689 106.81 90.38 90.03
Last column: nearest neighbours and their distance in Å.
Space group P1 (No. 1)
Unique sites:
H 0.0000 0.0000 0.0000 (multiplicity 1)  1 F 0.95
Se 0.1448 0.6323 0.4109 (multiplicity 1)  1 Se 2.37
Se 0.1479 0.2591 0.5526 (multiplicity 1)  1 Se 2.37
F 0.6539 0.9663 0.9842 (multiplicity 1)  1 H 0.95

Values from the calculation:
Magnetic moment (μB per atom): 0.000



#B
Computed, not measured: crystalline HSe2F at its relaxed geometry at the PBE-GGA level of DFT.

Lattice parameters (Å, degrees): 5.9412 5.9412 5.9412 90.00 90.00 90.00
Last column: nearest neighbours and their distance in Å.
Space group Fm-3m (No. 225)
Unique sites:
H 0.0000 0.0000 0.0000 (multiplicity 4)  8 Se 2.57
Se 0.2500 0.2500 0.2500 (multiplicity 8)  4 F 2.57, 4 H 2.57
F 0.0000 0.0000 0.5000 (multiplicity 4)  8 Se 2.57

Values from the calculation:
Magnetic moment (μB per atom): 0.000



#C
Computed, not measured: crystalline HSe2F at its relaxed geometry at the PBE-GGA level of DFT.

Lattice parameters (Å, degrees): 4.6532 5.9910 7.3846 74.10 76.05 68.13
Last column: nearest neighbours and their distance in Å.
Space group P1 (No. 1)
Unique sites:
H 0.0000 0.0000 0.0000 (multiplicity 1)  1 F 0.96
H 0.0557 0.2785 0.1272 (multiplicity 1)  1 F 0.97
Se 0.0807 0.2094 0.4404 (multiplicity 1)  1 H 2.26, 1 Se 2.50
Se 0.3248 0.7173 0.4384 (multiplicity 1)  3 Se 2.52-2.74
Se 0.5527 0.1688 0.5771 (multiplicity 1)  3 Se 2.50-2.66
Se 0.7769 0.6894 0.5840 (multiplicity 1)  3 Se 2.52-2.66
F 0.0192 0.2662 0.0074 (multiplicity 1)  1 H 0.97
F 0.9814 0.8493 0.9918 (multiplicity 1)  1 H 0.96

Values from the calculation:
Magnetic moment (μB per atom): 0.000



Most stable of them? #A.



#A
Computed, not measured: crystalline HSe2F at its relaxed geometry at the PBE-GGA level of DFT.

Lattice parameters (Å, degrees): 5.6171 5.8884 6.5140 96.19 104.13 97.02
Last column: nearest neighbours and their distance in Å.
Space group P1 (No. 1)
Unique sites:
H 0.0000 0.0000 0.0000 (multiplicity 1)  1 F 0.97
H 0.3012 0.8416 0.9096 (multiplicity 1)  1 F 0.99
Se 0.0160 0.5941 0.3600 (multiplicity 1)  2 Se 2.31-2.42
Se 0.4045 0.7425 0.6238 (multiplicity 1)  1 H 2.13, 1 Se 2.35
Se 0.6144 0.4414 0.7438 (multiplicity 1)  2 Se 2.35-2.39
Se 0.7863 0.2959 0.4648 (multiplicity 1)  2 Se 2.31-2.39
F 0.2533 0.9009 0.0389 (multiplicity 1)  1 H 0.99
F 0.8428 0.0560 0.9841 (multiplicity 1)  1 H 0.97

Values from the calculation:
Magnetic moment (μB per atom): 0.000



#B
Computed, not measured: crystalline HSe2F at its relaxed geometry at the PBE-GGA level of DFT.

Lattice parameters (Å, degrees): 3.1782 6.7574 7.1297 92.46 100.20 102.52
Last column: nearest neighbours and their distance in Å.
Space group P-1 (No. 2)
Unique sites:
H 0.0001 0.1119 0.1439 (multiplicity 2)  1 F 1.25
Se 0.0525 0.2686 0.3385 (multiplicity 2)  1 H 1.67
Se 0.1044 0.5693 0.1579 (multiplicity 2)  2 Se 2.33-2.44
F 0.0000 0.0000 0.0000 (multiplicity 1)  2 H 1.25
F 0.0000 0.0000 0.5000 (multiplicity 1)  2 Se 2.18

Values from the calculation:
Magnetic moment (μB per atom): 0.000



#C
Computed, not measured: crystalline HSe2F at its relaxed geometry at the PBE-GGA level of DFT.

Lattice parameters (Å, degrees): 6.6661 4.2682 6.7055 90.00 91.72 90.00
Last column: nearest neighbours and their distance in Å.
Space group P2_1 (No. 4)
Unique sites:
H 0.0111 0.0000 0.4878 (multiplicity 2)  1 F 1.00
Se 0.2743 0.5856 0.0028 (multiplicity 2)  1 Se 2.20
Se 0.5001 0.0029 0.2244 (multiplicity 2)  1 Se 2.20
F 0.0624 0.7948 0.4397 (multiplicity 2)  1 H 1.00

Values from the calculation:
Magnetic moment (μB per atom): 0.000



#D
Computed, not measured: crystalline HSe2F at its relaxed geometry at the PBE-GGA level of DFT.

Lattice parameters (Å, degrees): 3.7143 3.7162 6.2572 80.12 82.32 88.55
Last column: nearest neighbours and their distance in Å.
Space group P1 (No. 1)
Unique sites:
H 0.0000 0.0000 0.0000 (multiplicity 1)  1 F 0.95
Se 0.1544 0.1889 0.5766 (multiplicity 1)  1 Se 2.38, 1 H 2.61
Se 0.5502 0.5782 0.7012 (multiplicity 1)  1 Se 2.38
F 0.8811 0.8825 0.1369 (multiplicity 1)  1 H 0.95

Values from the calculation:
Magnetic moment (μB per atom): 0.000



Most stable of them? #C.